Record 1
MgHg2Ir | GGA-PBE | optimized geometry

a b c (Å): 3.0925 5.2794 9.5367
angles (deg): 90.00 90.00 90.00
Space group Cmmm (No. 65)
Unique sites:
Mg 0.0000 0.0000 0.0000
Hg 0.0000 0.5000 0.2551
Ir 0.0000 0.0000 0.5000

Properties
The energy relative to the lowest polymorph listed for this composition is 295 meV/atom. The value obtained for the density of states at the Fermi level is 0.537 states/eV per atom. The calculation puts the calculated total energy at -9.7 eV/f.u.


Record 2
Mg5Hg4Ir | GGA-PBE | optimized geometry

a b c (Å): 3.2848 3.2848 18.4325
angles (deg): 90.00 90.00 90.00
Space group P4/mmm (No. 123)
Unique sites:
Mg 0.0000 0.0000 0.0000
Mg 0.0000 0.0000 0.2143
Mg 0.0000 0.0000 0.4224
Hg 0.5000 0.5000 0.1070
Hg 0.5000 0.5000 0.3197
Ir 0.5000 0.5000 0.5000

Properties
The value obtained for the density of states at the Fermi level is 0.374 states/eV per atom. The calculation puts the calculated total energy at -20.6 eV/f.u.